(1)
## NaSm5Tl3 (PBE)

Data for crystalline NaSm5Tl3 at its relaxed geometry.

Properties
* energy of formation: -2.269 eV/f.u.
* magnetization: 0.00 μB per formula unit

Cell lengths 9.5554, 9.5554, 6.7837 Å; angles 90.00, 90.00, 120.00 degrees
Fractional coordinates of all 18 atoms:
Na 0.0000 0.0000 0.0000
Na 0.0000 0.0000 0.5000
Sm 0.0000 0.3205 0.2500
Sm 0.0000 0.6795 0.7500
Sm 0.3205 0.0000 0.2500
Sm 0.3205 0.3205 0.7500
Sm 0.3333 0.6667 0.0000
Sm 0.3333 0.6667 0.5000
Sm 0.6667 0.3333 0.0000
Sm 0.6667 0.3333 0.5000
Sm 0.6795 0.0000 0.7500
Sm 0.6795 0.6795 0.2500
Tl 0.0000 0.3435 0.7500
Tl 0.0000 0.6565 0.2500
Tl 0.3435 0.0000 0.7500
Tl 0.3435 0.3435 0.2500
Tl 0.6565 0.0000 0.2500
Tl 0.6565 0.6565 0.7500

(2)
## TbPr3Si4 (PBE)

Data for crystalline TbPr3Si4 at its relaxed geometry.

Properties
* raw total energy: -45.0 eV/f.u.
* magnetization: 0.00 μB per formula unit

Cell lengths 8.9196, 8.9196, 8.9196 Å; angles 152.56, 138.37, 50.59 degrees
Fractional coordinates of all 8 atoms:
Tb 0.0000 0.0000 0.0000
Pr 0.1935 0.6935 0.5000
Pr 0.5000 0.5000 0.0000
Pr 0.8065 0.3065 0.5000
Si 0.1864 0.8705 0.3160
Si 0.4455 0.1295 0.3160
Si 0.5545 0.8705 0.6840
Si 0.8136 0.1295 0.6840

(3)
## LiAcTm2Hg4 (PBE)

Data for crystalline LiAcTm2Hg4 at its relaxed geometry.

Properties
* energy of formation: -3.325 eV/f.u.
* magnetization: 0.00 μB per formula unit

Cell lengths 9.6703, 9.6703, 9.6703 Å; angles 30.71, 30.71, 30.71 degrees
Fractional coordinates of all 8 atoms:
Li 0.0000 0.0000 0.0000
Ac 0.5000 0.5000 0.5000
Tm 0.2611 0.2611 0.2611
Tm 0.7389 0.7389 0.7389
Hg 0.1067 0.1067 0.1067
Hg 0.3714 0.3714 0.3714
Hg 0.6286 0.6286 0.6286
Hg 0.8933 0.8933 0.8933